Entry 1:
Density functional theory data (PBE) for a geometry-optimized RbHfSeBr2 structure.

Unit cell a=5.858 b=5.858 c=5.915 alpha=90.00 beta=90.00 gamma=90.00
Space group P4/mmm (No. 123)
Asymmetric unit:
Rb  0.000  0.000  0.000 (multiplicity 1)
Hf  0.500  0.500  0.500 (multiplicity 1)
Se  0.000  0.000  0.500 (multiplicity 1)
Br  0.000  0.500  0.000 (multiplicity 2)

ΔE_f (raw)	716	meV per atom
energy above the lowest structure with this stoichiometry	1926	meV/atom
Fermi-level density of states	4.6	states/eV/f.u.
total magnetization	1.0	μB/f.u.
energy	-2.83	eV/atom

Entry 2:
Density functional theory data (PBE) for a geometry-optimized Rb2HfSnBr structure.

Unit cell a=6.282 b=6.282 c=5.247 alpha=90.00 beta=90.00 gamma=90.00
Space group P4/mmm (No. 123)
Asymmetric unit:
Rb  0.000  0.500  0.000 (multiplicity 2)
Hf  0.000  0.000  0.500 (multiplicity 1)
Sn  0.500  0.500  0.500 (multiplicity 1)
Br  0.000  0.000  0.000 (multiplicity 1)

ΔE_f (raw)	354	meV per atom
Fermi-level density of states	4.0	states/eV/f.u.
total magnetization	1.5	μB/f.u.
energy	-3.16	eV/atom

Entry 3:
Density functional theory data (PBE) for a geometry-optimized Rb2HfTaBr6 structure.

Unit cell a=10.742 b=10.742 c=10.742 alpha=90.00 beta=90.00 gamma=90.00
Space group Fm-3m (No. 225)
Asymmetric unit:
Rb  0.250  0.250  0.250 (multiplicity 8)
Hf  0.000  0.000  0.000 (multiplicity 4)
Ta  0.000  0.000  0.500 (multiplicity 4)
Br  0.000  0.000  0.251 (multiplicity 24)

ΔE_f (raw)	-838	meV per atom
Fermi-level density of states	4.3	states/eV/f.u.
total magnetization	1.0	μB/f.u.
energy	-4.22	eV/atom

Entry 4:
Density functional theory data (PBE) for a geometry-optimized Rb2HfTcBr6 structure.

Unit cell a=7.712 b=7.712 c=10.900 alpha=90.00 beta=90.00 gamma=90.00
Space group I4/mmm (No. 139)
Asymmetric unit:
Rb  0.000  0.500  0.250 (multiplicity 4)
Hf  0.000  0.000  0.000 (multiplicity 2)
Tc  0.000  0.000  0.500 (multiplicity 2)
Br  0.000  0.000  0.245 (multiplicity 4)
Br  0.244  0.244  0.000 (multiplicity 8)

ΔE_f (raw)	-902	meV per atom
Fermi-level density of states	4.2	states/eV/f.u.
total magnetization	3.0	μB/f.u.
energy	-4.13	eV/atom

Entry 5:
Density functional theory data (PBE) for a geometry-optimized RbHfTcBr2 structure.

Unit cell a=5.895 b=5.895 c=6.113 alpha=90.00 beta=90.00 gamma=90.00
Space group P4/mmm (No. 123)
Asymmetric unit:
Rb  0.000  0.000  0.000 (multiplicity 1)
Hf  0.500  0.500  0.500 (multiplicity 1)
Tc  0.000  0.000  0.500 (multiplicity 1)
Br  0.000  0.500  0.000 (multiplicity 2)

ΔE_f (raw)	1577	meV per atom
Fermi-level density of states	5.5	states/eV/f.u.
total magnetization	4.0	μB/f.u.
energy	-3.35	eV/atom

Entry 6:
Density functional theory data (PBE) for a geometry-optimized Rb2HfTeBr6 structure.

Unit cell a=9.014 b=9.014 c=10.779 alpha=90.00 beta=90.00 gamma=90.00
Space group I4/mmm (No. 139)
Asymmetric unit:
Rb  0.000  0.500  0.250 (multiplicity 4)
Hf  0.000  0.000  0.000 (multiplicity 2)
Te  0.000  0.000  0.500 (multiplicity 2)
Br  0.000  0.000  0.243 (multiplicity 4)
Br  0.206  0.206  0.000 (multiplicity 8)

ΔE_f (raw)	-1159	meV per atom
Fermi-level density of states	0.0	states/eV/f.u.
total magnetization	0.0	μB/f.u.
energy	-3.67	eV/atom